(1)
Na2Ca3PaSe6: relaxed, PBE-GGA.

Summary:
The calculation puts the energy relative to the elements, uncorrected at -1.669 eV/atom. As for the crystal system: monoclinic. The space-group type is C2/m, No. 12.

Lattice parameters (Å, degrees): 7.323 7.323 7.273 99.72 99.72 119.90
Fractional coordinates of all 12 atoms:
Se  0.083  0.402  0.251
Se  0.598  0.917  0.749
Se  0.765  0.765  0.247
Se  0.402  0.083  0.251
Se  0.917  0.598  0.749
Se  0.235  0.235  0.753
Na  0.334  0.666  0.000
Na  0.666  0.334  0.000
Ca  0.169  0.831  0.500
Ca  0.500  0.500  0.500
Ca  0.831  0.169  0.500
Pa  0.000  0.000  0.000

(2)
Th2Co4CuAs3: relaxed, PBE-GGA.

Summary:
The value obtained for the formation energy is -670.4 meV/atom. As for the crystal system: tetragonal. The space-group type is P-4m2, No. 115.

Lattice parameters (Å, degrees): 4.104 4.104 9.610 90.00 90.00 90.00
Fractional coordinates of all 10 atoms:
Co  0.500  0.500  0.000
Co  0.000  0.000  0.000
Co  0.500  0.000  0.624
Co  0.000  0.500  0.376
Cu  0.500  0.500  0.500
As  0.500  0.000  0.868
As  0.000  0.000  0.500
As  0.000  0.500  0.132
Th  0.500  0.000  0.249
Th  0.000  0.500  0.751

(3)
Cd2TcNi: relaxed, PBE-GGA.

Summary:
The value obtained for the formation energy is 423.2 meV/atom. Its offset from the most stable computed form is 252 meV/atom. As for the crystal system: orthorhombic. The space-group type is Immm, No. 71.

Lattice parameters (Å, degrees): 5.544 5.544 5.544 150.22 128.91 60.26
Fractional coordinates of all 4 atoms:
Cd  0.521  0.521  0.000
Cd  0.979  0.979  0.000
Tc  0.250  0.750  0.500
Ni  0.750  0.250  0.500

(4)
Sr2TbNpN4: relaxed, PBE-GGA.

Summary:
The calculation puts the energy relative to the elements, uncorrected at -1.150 eV/atom. As for the crystal system: monoclinic. The space-group type is P2/m, No. 10.

Lattice parameters (Å, degrees): 3.591 6.100 6.315 108.44 90.00 90.00
Fractional coordinates of all 8 atoms:
Np  0.000  0.000  0.000
Sr  0.500  0.000  0.500
Sr  0.000  0.500  0.500
N  0.500  0.776  0.795
N  0.500  0.224  0.205
N  0.000  0.765  0.198
N  0.000  0.235  0.802
Tb  0.500  0.500  0.000